[1]
DFT (GGA-PBE) results for a geometry-optimized Dy2ZrBi structure.

a = 5.3750 Å, b = 5.3750 Å, c = 5.3744 Å
α = 60.00°, β = 60.00°, γ = 60.00°
Fractional coordinates of all 4 atoms:
Bi  0.0000  0.0000  0.0000
Zr  0.5000  0.5000  0.5000
Dy  0.2501  0.2501  0.2498
Dy  0.7499  0.7499  0.7502

Properties
The relative energy among the computed polymorphs comes out at 0.192 eV per atom. The calculation puts the size of the total moment at 0.439 μB/atom. The final energy is -5.48 eV per atom.



[2]
DFT (GGA-PBE) results for a geometry-optimized TbPr6Y5 structure.

a = 5.1907 Å, b = 10.1758 Å, c = 9.6295 Å
α = 121.90°, β = 105.64°, γ = 90.00°
Fractional coordinates of all 12 atoms:
Pr  0.8336  0.5838  0.6672
Pr  0.8336  0.0834  0.6672
Pr  0.5000  0.7504  0.0000
Pr  0.5000  0.2496  0.0000
Pr  0.1664  0.9166  0.3328
Pr  0.1664  0.4162  0.3328
Y  0.6665  0.1665  0.3330
Y  0.3333  0.3333  0.6666
Y  0.0000  0.5000  0.0000
Y  0.6667  0.6667  0.3334
Y  0.3335  0.8335  0.6670
Tb  0.0000  0.0000  0.0000

Properties
The relative energy among the computed polymorphs comes out at 0.007 eV per atom. The calculation puts the size of the total moment at 0.000 μB/atom. The final energy is -5.46 eV per atom.



[3]
DFT (GGA-PBE) results for a geometry-optimized NbNi2Ge structure.

a = 4.0747 Å, b = 2.8118 Å, c = 18.9742 Å
α = 90.00°, β = 90.00°, γ = 90.00°
Fractional coordinates of all 16 atoms:
Nb  0.0000  0.0000  0.4950
Nb  0.0000  0.5000  0.9950
Nb  0.5000  0.0000  0.6963
Nb  0.5000  0.5000  0.1963
Ni  0.0000  0.0000  0.1260
Ni  0.0000  0.5000  0.6260
Ni  0.5000  0.0000  0.3252
Ni  0.5000  0.5000  0.8252
Ni  0.5000  0.0000  0.9369
Ni  0.5000  0.5000  0.4369
Ni  0.0000  0.0000  0.2530
Ni  0.0000  0.5000  0.7530
Ge  0.5000  0.0000  0.0644
Ge  0.5000  0.5000  0.5644
Ge  0.0000  0.0000  0.8595
Ge  0.0000  0.5000  0.3595

Properties
The calculation puts the size of the total moment at 0.000 μB/atom. The final energy is -6.85 eV per atom.



[4]
DFT (GGA-PBE) results for a geometry-optimized ScInCl6 structure.

a = 6.3930 Å, b = 6.3931 Å, c = 6.8410 Å
α = 62.14°, β = 62.14°, γ = 60.00°
Fractional coordinates of all 8 atoms:
Sc  0.5000  0.5000  0.5000
In  0.0000  0.0000  0.0000
Cl  0.0990  0.4068  0.7470
Cl  0.7472  0.0990  0.7470
Cl  0.5932  0.2527  0.2530
Cl  0.2528  0.9010  0.2530
Cl  0.9010  0.5932  0.2530
Cl  0.4068  0.7473  0.7470

Properties
The relative energy among the computed polymorphs comes out at 0.031 eV per atom. The calculation puts the formation energy from raw total energies at -1175 kJ/mol of formula units. The calculation puts the size of the total moment at 0.000 μB/atom. The final energy is -4.04 eV per atom.



[5]
DFT (GGA-PBE) results for a geometry-optimized LiY2Cl5 structure.

a = 8.3306 Å, b = 8.3306 Å, c = 7.3734 Å
α = 87.11°, β = 87.11°, γ = 45.37°
Fractional coordinates of all 16 atoms:
Y  0.8856  0.2660  0.4309
Y  0.7340  0.1144  0.0691
Y  0.1144  0.7340  0.5691
Y  0.2660  0.8856  0.9309
Li  0.0000  0.5000  0.0000
Li  0.5000  0.0000  0.5000
Cl  0.8504  0.7397  0.3299
Cl  0.2603  0.1496  0.1701
Cl  0.1496  0.2603  0.6701
Cl  0.7397  0.8504  0.8299
Cl  0.6866  0.4934  0.0969
Cl  0.5066  0.3134  0.4031
Cl  0.3134  0.5066  0.9031
Cl  0.4934  0.6866  0.5969
Cl  0.1200  0.8800  0.2500
Cl  0.8800  0.1200  0.7500

Properties
The calculation puts the formation energy from raw total energies at -1380 kJ/mol of formula units. The calculation puts the size of the total moment at 0.000 μB/atom. The final energy is -4.80 eV per atom.



[6]
DFT (GGA-PBE) results for a geometry-optimized AcPr2CuS5 structure.

a = 4.0004 Å, b = 9.8473 Å, c = 11.2902 Å
α = 90.00°, β = 90.00°, γ = 101.72°
Fractional coordinates of all 18 atoms:
Ac  0.7973  0.5946  0.5052
Ac  0.2027  0.4054  0.0052
Pr  0.8925  0.7850  0.8107
Pr  0.0857  0.1714  0.6834
Pr  0.1075  0.2150  0.3107
Pr  0.9143  0.8286  0.1834
Cu  0.5622  0.1243  0.9516
Cu  0.4378  0.8757  0.4516
S  0.3635  0.7271  0.0054
S  0.6635  0.3271  0.8278
S  0.4957  0.9913  0.7823
S  0.3027  0.6054  0.6996
S  0.9490  0.8980  0.5580
S  0.6365  0.2729  0.5054
S  0.3365  0.6729  0.3278
S  0.5043  0.0087  0.2823
S  0.6973  0.3946  0.1996
S  0.0510  0.1020  0.0580

Properties
The calculation puts the formation energy from raw total energies at -1485 kJ/mol of formula units. The calculation puts the size of the total moment at 0.000 μB/atom. The final energy is -5.98 eV per atom.



[7]
DFT (GGA-PBE) results for a geometry-optimized CeSiBO5 structure.

a = 6.9048 Å, b = 6.9048 Å, c = 6.7344 Å
α = 90.00°, β = 90.00°, γ = 120.00°
Fractional coordinates of all 24 atoms:
Ce  0.4130  0.4128  0.5017
Ce  0.9998  0.5870  0.1683
Ce  0.5872  0.0002  0.8350
Si  0.4154  0.4173  0.0024
Si  0.0018  0.5846  0.6691
Si  0.5827  0.9982  0.3358
B  0.9001  0.8848  0.4720
B  0.9847  0.0999  0.1387
B  0.1152  0.0153  0.8053
O  0.1490  0.5427  0.5055
O  0.3937  0.8510  0.1721
O  0.4573  0.6063  0.8388
O  0.0632  0.0534  0.6050
O  0.9466  0.0098  0.9383
O  0.9902  0.9368  0.2717
O  0.3491  0.1961  0.8568
O  0.8039  0.1530  0.1901
O  0.8470  0.6509  0.5234
O  0.1911  0.3306  0.1498
O  0.6694  0.8605  0.4831
O  0.1395  0.8089  0.8165
O  0.6090  0.4710  0.1638
O  0.5290  0.1380  0.4971
O  0.8620  0.3910  0.8304

Properties
The calculation puts the formation energy from raw total energies at -2254 kJ/mol of formula units. The calculation puts the size of the total moment at 0.125 μB/atom. The final energy is -8.27 eV per atom.



[8]
DFT (GGA-PBE) results for a geometry-optimized Ho3Tl2Sn structure.

a = 3.7026 Å, b = 5.3765 Å, c = 16.2358 Å
α = 90.00°, β = 90.00°, γ = 90.00°
Fractional coordinates of all 12 atoms:
Ho  0.5003  0.5000  0.6606
Ho  0.5010  0.0000  0.5000
Ho  0.5003  0.5000  0.3394
Ho  0.4997  0.0000  0.1606
Ho  0.4990  0.5000  0.0000
Ho  0.4997  0.0000  0.8394
Tl  0.0003  0.0000  0.6723
Tl  0.0003  0.0000  0.3277
Tl  0.9997  0.5000  0.1723
Tl  0.9997  0.5000  0.8277
Sn  0.0008  0.5000  0.5000
Sn  0.9992  0.0000  0.0000

Properties
The calculation puts the size of the total moment at 0.000 μB/atom. The final energy is -4.15 eV per atom.



[9]
DFT (GGA-PBE) results for a geometry-optimized KCo2Sb structure.

a = 4.6791 Å, b = 4.6819 Å, c = 3.2921 Å
α = 90.00°, β = 90.00°, γ = 90.00°
Fractional coordinates of all 4 atoms:
Co  0.0000  0.0000  0.0000
Co  0.5000  0.5000  0.0000
K  0.5000  0.0000  0.5000
Sb  0.0000  0.5000  0.5000

Properties
The relative energy among the computed polymorphs comes out at 0.763 eV per atom. The calculation puts the formation energy from raw total energies at 334 kJ/mol of formula units. The calculation puts the size of the total moment at 0.570 μB/atom. The final energy is -3.99 eV per atom.



[10]
DFT (GGA-PBE) results for a geometry-optimized Pm3PrY8 structure.

a = 8.7568 Å, b = 8.7568 Å, c = 8.7568 Å
α = 97.11°, β = 98.78°, γ = 136.35°
Fractional coordinates of all 12 atoms:
Pm  0.5000  0.7521  0.2521
Pm  0.5000  0.2479  0.7479
Pm  0.0000  0.5000  0.5000
Pr  0.0000  0.0000  0.0000
Y  0.5013  0.2490  0.2524
Y  0.4987  0.7511  0.7476
Y  0.0034  0.7510  0.2524
Y  0.9966  0.2489  0.7476
Y  0.1695  0.2502  0.4197
Y  0.8305  0.2502  0.0807
Y  0.1694  0.7498  0.9193
Y  0.8306  0.7498  0.5803

Properties
The calculation puts the size of the total moment at 0.000 μB/atom. The final energy is -5.59 eV per atom.



[11]
DFT (GGA-PBE) results for a geometry-optimized Tb5SmSc2 structure.

a = 8.8734 Å, b = 8.8734 Å, c = 8.8228 Å
α = 120.19°, β = 120.19°, γ = 90.00°
Fractional coordinates of all 16 atoms:
Tb  0.4920  0.6925  0.6845
Tb  0.8075  0.0080  0.3155
Tb  0.0000  0.0000  0.0000
Tb  0.5000  0.5000  0.0000
Tb  0.1925  0.9920  0.6845
Tb  0.6925  0.1925  0.6845
Tb  0.9920  0.4920  0.6845
Tb  0.3075  0.8075  0.3155
Tb  0.0080  0.5080  0.3155
Tb  0.5080  0.3075  0.3155
Sm  0.7500  0.7500  0.5000
Sm  0.2500  0.2500  0.5000
Sc  0.1448  0.3552  0.0000
Sc  0.6448  0.1449  0.0000
Sc  0.3551  0.8552  0.0000
Sc  0.8551  0.6449  0.0000

Properties
The relative energy among the computed polymorphs comes out at 0.081 eV per atom. The calculation puts the size of the total moment at 0.028 μB/atom. The final energy is -4.95 eV per atom.



[12]
DFT (GGA-PBE) results for a geometry-optimized SmCdCuHg structure.

a = 4.9725 Å, b = 4.9725 Å, c = 4.9725 Å
α = 60.00°, β = 60.00°, γ = 60.00°
Fractional coordinates of all 4 atoms:
Cu  0.5000  0.5000  0.5000
Hg  0.0000  0.0000  0.0000
Sm  0.2500  0.2500  0.2500
Cd  0.7500  0.7500  0.7500

Properties
The calculation puts the size of the total moment at 0.000 μB/atom. The final energy is -2.78 eV per atom.



[13]
DFT (GGA-PBE) results for a geometry-optimized Ac3NiRu structure.

a = 4.2179 Å, b = 8.4008 Å, c = 8.6268 Å
α = 85.19°, β = 89.96°, γ = 104.46°
Fractional coordinates of all 10 atoms:
Ac  0.0774  0.1867  0.3799
Ac  0.4151  0.8655  0.6457
Ac  0.6288  0.2885  0.7759
Ac  0.9664  0.9674  0.0416
Ac  0.2544  0.5416  0.0271
Ac  0.7895  0.6124  0.3944
Ni  0.2368  0.5059  0.6534
Ni  0.8073  0.6480  0.7682
Ru  0.4186  0.8720  0.2735
Ru  0.6254  0.2824  0.1481

Properties
The relative energy among the computed polymorphs comes out at 0.049 eV per atom. The calculation puts the size of the total moment at 0.000 μB/atom. The final energy is -5.61 eV per atom.



[14]
DFT (GGA-PBE) results for a geometry-optimized Sc4I structure.

a = 5.2787 Å, b = 5.2787 Å, c = 5.2787 Å
α = 90.00°, β = 90.00°, γ = 90.00°
Fractional coordinates of all 5 atoms:
I  0.5000  0.5000  0.5000
Sc  0.0000  0.0000  0.0000
Sc  0.5000  0.0000  0.5000
Sc  0.0000  0.5000  0.5000
Sc  0.5000  0.5000  0.0000

Properties
The calculation puts the formation energy from raw total energies at 159 kJ/mol of formula units. The calculation puts the size of the total moment at 0.000 μB/atom. The final energy is -5.04 eV per atom.



[15]
DFT (GGA-PBE) results for a geometry-optimized K2BaPSe4 structure.

a = 7.2325 Å, b = 7.2325 Å, c = 7.2325 Å
α = 106.38°, β = 111.04°, γ = 111.04°
Fractional coordinates of all 8 atoms:
K  0.5000  0.7500  0.2500
K  0.0000  0.0000  0.0000
Ba  0.5000  0.2500  0.7500
P  0.0000  0.5000  0.5000
Se  0.6572  0.4738  0.4734
Se  0.9996  0.1834  0.5262
Se  0.0004  0.5266  0.1837
Se  0.3428  0.8163  0.8166

Properties
The calculation puts the formation energy from raw total energies at -679 kJ/mol of formula units. The calculation puts the size of the total moment at 0.000 μB/atom. The final energy is -3.81 eV per atom.



[16]
DFT (GGA-PBE) results for a geometry-optimized ThHgB2O6 structure.

a = 6.6910 Å, b = 6.6910 Å, c = 7.3747 Å
α = 112.09°, β = 112.09°, γ = 86.13°
Fractional coordinates of all 20 atoms:
Th  0.5920  0.4080  0.2500
Th  0.4080  0.5920  0.7500
Hg  0.0653  0.9347  0.2500
Hg  0.9347  0.0653  0.7500
B  0.3850  0.1115  0.7119
B  0.8885  0.6150  0.7881
B  0.6150  0.8885  0.2881
B  0.1115  0.3850  0.2119
O  0.9196  0.3754  0.2297
O  0.6246  0.0804  0.2703
O  0.0804  0.6246  0.7703
O  0.3754  0.9196  0.7297
O  0.1581  0.2649  0.0314
O  0.7351  0.8419  0.4686
O  0.8419  0.7351  0.9686
O  0.2649  0.1581  0.5314
O  0.2950  0.5080  0.3754
O  0.4920  0.7050  0.1246
O  0.7050  0.4920  0.6246
O  0.5080  0.2950  0.8754

Properties
The calculation puts the formation energy from raw total energies at -2332 kJ/mol of formula units. The calculation puts the size of the total moment at 0.000 μB/atom. The final energy is -7.50 eV per atom.



[17]
DFT (GGA-PBE) results for a geometry-optimized Cs2Ca3SmCl12 structure.

a = 10.0939 Å, b = 10.0939 Å, c = 10.0939 Å
α = 58.10°, β = 58.10°, γ = 58.10°
Fractional coordinates of all 18 atoms:
Cs  0.6010  0.6010  0.6010
Cs  0.3990  0.3990  0.3990
Ca  0.5000  0.0000  0.0000
Ca  0.0000  0.5000  0.0000
Ca  0.0000  0.0000  0.5000
Sm  0.0000  0.0000  0.0000
Cl  0.3362  0.3362  0.9123
Cl  0.9253  0.9253  0.3259
Cl  0.3259  0.9253  0.9253
Cl  0.9123  0.3362  0.3362
Cl  0.9253  0.3259  0.9253
Cl  0.3362  0.9123  0.3362
Cl  0.6638  0.6638  0.0877
Cl  0.0747  0.0747  0.6741
Cl  0.6741  0.0747  0.0747
Cl  0.0877  0.6638  0.6638
Cl  0.0747  0.6741  0.0747
Cl  0.6638  0.0877  0.6638

Properties
The calculation puts the formation energy from raw total energies at -3609 kJ/mol of formula units. The calculation puts the size of the total moment at 0.059 μB/atom. The final energy is -4.00 eV per atom.



[18]
DFT (GGA-PBE) results for a geometry-optimized Sr2Zn3Hg structure.

a = 6.2878 Å, b = 6.2878 Å, c = 9.1541 Å
α = 107.85°, β = 107.85°, γ = 96.17°
Fractional coordinates of all 12 atoms:
Sr  0.2500  0.7500  0.5000
Sr  0.7475  0.7475  0.0000
Sr  0.7500  0.2500  0.5000
Sr  0.2525  0.2525  0.0000
Zn  0.3227  0.8391  0.1618
Zn  0.1609  0.6773  0.8382
Zn  0.6773  0.1609  0.8382
Zn  0.8391  0.3227  0.1618
Zn  0.1613  0.1613  0.3225
Zn  0.8387  0.8387  0.6775
Hg  0.6667  0.6667  0.3333
Hg  0.3333  0.3333  0.6667

Properties
The calculation puts the size of the total moment at 0.000 μB/atom. The final energy is -1.56 eV per atom.



[19]
DFT (GGA-PBE) results for a geometry-optimized Rb2AsHO4 structure.

a = 4.4190 Å, b = 6.3606 Å, c = 10.5060 Å
α = 85.81°, β = 77.86°, γ = 69.67°
Fractional coordinates of all 16 atoms:
Rb  0.1712  0.0000  0.6576
Rb  0.8288  0.0000  0.3424
Rb  0.5788  0.5000  0.8424
Rb  0.9212  0.5000  0.1576
As  0.2500  0.5000  0.5000
As  0.5000  0.0000  0.0000
H  0.7500  0.5000  0.5000
H  0.0000  0.0000  0.0000
O  0.2846  0.8395  0.0886
O  0.2127  0.1605  0.9114
O  0.8759  0.8395  0.9114
O  0.6268  0.1605  0.0886
O  0.4654  0.6605  0.4114
O  0.5373  0.3395  0.5886
O  0.8741  0.6605  0.5886
O  0.1232  0.3395  0.4114

Properties
The calculation puts the size of the total moment at 0.000 μB/atom. The final energy is -4.98 eV per atom.



[20]
DFT (GGA-PBE) results for a geometry-optimized CaNiTeI2 structure.

a = 5.2469 Å, b = 5.2469 Å, c = 5.4354 Å
α = 90.00°, β = 90.00°, γ = 90.00°
Fractional coordinates of all 5 atoms:
I  0.0000  0.5000  0.0000
I  0.5000  0.0000  0.0000
Ni  0.0000  0.0000  0.0000
Ca  0.5000  0.5000  0.5000
Te  0.0000  0.0000  0.5000

Properties
The relative energy among the computed polymorphs comes out at 0.000 eV per atom. The calculation puts the formation energy from raw total energies at -215 kJ/mol of formula units. The calculation puts the size of the total moment at 0.000 μB/atom. The final energy is -3.25 eV per atom.



[21]
DFT (GGA-PBE) results for a geometry-optimized KGaBr2Cl structure.

a = 5.4264 Å, b = 5.4264 Å, c = 5.1408 Å
α = 90.00°, β = 90.00°, γ = 90.00°
Fractional coordinates of all 5 atoms:
K  0.5000  0.5000  0.5000
Ga  0.0000  0.0000  0.0000
Br  0.0000  0.5000  0.0000
Br  0.5000  0.0000  0.0000
Cl  0.0000  0.0000  0.5000

Properties
The calculation puts the formation energy from raw total energies at -551 kJ/mol of formula units. The calculation puts the size of the total moment at 0.000 μB/atom. The final energy is -3.01 eV per atom.